Entry 1:
LiMnOs2 at its PBEsol-relaxed geometry, computed with SCAN.

Structure (POSCAR):
```
LiMnOs2
1.0
-0.5681 2.6855 -0.7403
-3.2658 -0.0131 2.4588
4.2640 0.0216 2.2654
Li Mn Os
1 1 2
Direct
0.5077 0.5077 0.0154
0.2446 0.7446 0.4891
0.9929 0.9929 0.9859
0.7548 0.2548 0.5096
```

Summary:
- calculated volume (A^3/atom) = 12.0
- magnetic moment (μB/cell) = 0.02
- D(E_F) (states/eV per atom) = 0.772
- E_form (eV per formula unit) = 0.922

***

Entry 2:
LiMnOs at its PBEsol-relaxed geometry, computed with SCAN.

Structure (POSCAR):
```
LiMnOs
1.0
3.8501 0.0000 0.0000
1.9250 3.3343 0.0000
1.9250 1.1114 3.1436
Li Mn Os
1 1 1
Direct
0.5000 0.5000 0.5000
0.2500 0.2500 0.2500
0.0000 0.0000 0.0000
```

Summary:
- calculated volume (A^3/atom) = 13.5
- magnetic moment (μB/cell) = 0.00
- D(E_F) (states/eV per atom) = 0.786
- E_form (eV per formula unit) = 1.796

***

Entry 3:
LiMnOs2 at its PBEsol-relaxed geometry, computed with SCAN.

Structure (POSCAR):
```
LiMnOs2
1.0
2.7130 0.0000 0.0000
0.0000 4.3911 0.0000
-1.3565 -2.1956 4.5566
Li Mn Os
1 1 2
Direct
0.5000 0.0000 0.0000
0.0000 0.5000 0.0000
0.7226 0.7226 0.4452
0.2774 0.2774 0.5548
```

Summary:
- calculated volume (A^3/atom) = 13.6
- magnetic moment (μB/cell) = 2.63
- D(E_F) (states/eV per atom) = 0.595
- E_form (eV per formula unit) = 0.311

***

Entry 4:
LiMnOs2 at its PBEsol-relaxed geometry, computed with SCAN.

Structure (POSCAR):
```
LiMnOs2
1.0
-0.8365 -2.5214 -2.7181
-2.5686 -1.4818 2.1650
-2.4960 2.3135 -1.3779
Li Mn Os
1 1 2
Direct
0.5000 0.5000 0.5000
0.5000 0.0000 0.0000
0.0000 0.0000 0.5000
0.0000 0.5000 0.0000
```

Summary:
- calculated volume (A^3/atom) = 12.8
- magnetic moment (μB/cell) = 2.61
- D(E_F) (states/eV per atom) = 0.824
- E_form (eV per formula unit) = 0.800

***

Entry 5:
LiMnOs2Ru at its PBEsol-relaxed geometry, computed with SCAN.

Structure (POSCAR):
```
LiMnOs2Ru
1.0
-2.6877 -3.5110 -1.2913
0.3355 -1.8098 4.2226
-3.8174 2.4280 1.3439
Ru Mn Os Li
1 1 2 1
Direct
0.0000 0.0000 0.0000
0.0000 0.0000 0.5000
0.0000 0.5000 0.0000
0.5000 0.0000 0.0000
0.5000 0.5000 0.5000
```

Summary:
- calculated volume (A^3/atom) = 20.0
- magnetic moment (μB/cell) = 3.42
- D(E_F) (states/eV per atom) = 0.907
- E_form (eV per formula unit) = 7.267

***

Entry 6:
LiTa2MnOs at its PBEsol-relaxed geometry, computed with SCAN.

Structure (POSCAR):
```
LiTa2MnOs
1.0
4.0306 0.0000 0.0000
0.0000 4.2994 0.0000
0.0000 0.0000 4.2994
Mn Os Li Ta
1 1 1 2
Direct
0.5000 0.5000 0.5000
0.5000 0.0000 0.0000
0.0000 0.0000 0.0000
0.0000 0.0000 0.5000
0.0000 0.5000 0.0000
```

Summary:
- calculated volume (A^3/atom) = 14.9
- magnetic moment (μB/cell) = 3.68
- D(E_F) (states/eV per atom) = 0.617
- E_form (eV per formula unit) = 4.951